No. 1
Density functional theory data (PBE) for a relaxed AcSn4Rh3 crystal.

Results
The value obtained for the total energy is -46.00 eV per cell. The energy relative to the elements is -0.478 eV/atom. As for the space group: R-3m.

Unit cell a=11.1478 b=11.1478 c=11.1478 alpha=23.23 beta=23.23 gamma=23.23
Last column: nearest neighbours and their distance in Å.
Fractional coordinates of all 8 atoms:
Ac 0.0000 0.0000 0.0000  6 Rh 3.15
Sn 0.1955 0.1955 0.1955  4 Rh 2.70-2.76
Sn 0.4127 0.4127 0.4127  4 Rh 2.71-2.84
Sn 0.5873 0.5873 0.5873  4 Rh 2.71-2.84
Sn 0.8045 0.8045 0.8045  4 Rh 2.70-2.76
Rh 0.2785 0.2785 0.2785  4 Sn 2.70-2.71
Rh 0.5000 0.5000 0.5000  8 Sn 2.76-2.84
Rh 0.7215 0.7215 0.7215  4 Sn 2.70-2.71

---

No. 2
Density functional theory data (PBE) for a relaxed Sc2RhSe crystal.

Results
The value obtained for the total energy is -54.40 eV per cell. As for the formation energy from raw total energies: -925 meV/atom. For the energy relative to the lowest polymorph listed for this composition, the calculation gives 18.6 kJ per mole of atoms. As for the space group: I-4m2.

Unit cell a=3.7825 b=3.7825 c=10.1832 alpha=90.00 beta=90.00 gamma=90.00
Last column: nearest neighbours and their distance in Å.
Fractional coordinates of all 8 atoms:
Sc 0.0000 0.0000 0.0000  4 Rh 2.67
Sc 0.0000 0.5000 0.2500  4 Se 2.67
Sc 0.5000 0.0000 0.7500  4 Se 2.67
Sc 0.5000 0.5000 0.5000  4 Rh 2.67
Rh 0.0000 0.0000 0.5000  4 Sc 2.67
Rh 0.5000 0.5000 0.0000  4 Sc 2.67
Se 0.0000 0.5000 0.7500  4 Sc 2.67
Se 0.5000 0.0000 0.2500  4 Sc 2.67

---

No. 3
Density functional theory data (PBE) for a relaxed CeGaRh2 crystal.

Results
The value obtained for the total energy is -26.48 eV per cell. The energy relative to the elements is -0.705 eV/atom. As for the space group: P4/mmm.

Unit cell a=4.3654 b=4.3654 c=3.6797 alpha=90.00 beta=90.00 gamma=90.00
Last column: nearest neighbours and their distance in Å.
Fractional coordinates of all 4 atoms:
Ce 0.0000 0.0000 0.0000  8 Rh 2.85, 4 Ga 3.09
Ga 0.5000 0.5000 0.0000  8 Rh 2.85, 4 Ce 3.09
Rh 0.0000 0.5000 0.5000  4 Ce 2.85, 4 Ga 2.85, 4 Rh 3.09
Rh 0.5000 0.0000 0.5000  4 Ce 2.85, 4 Ga 2.85, 4 Rh 3.09